# 1
# AcTh2Zn

AcTh2Zn after structural relaxation (PBE-GGA, Alexandria).

## Properties
ΔE_f in meV per atom: 116.6
Total energy in eV per cell: -19.8
Crystal system: tetragonal
DOS(E_F) in states/eV/f.u.: 4.43

Unit cell a=4.930 b=4.930 c=5.075 alpha=90.00 beta=90.00 gamma=90.00
Atoms (fractional coordinates):
Ac 0.000 0.000 0.000
Th 0.000 0.500 0.500
Th 0.500 0.000 0.500
Zn 0.500 0.500 0.000

***

# 2
# AcTh2Zn

AcTh2Zn after structural relaxation (PBE-GGA, Alexandria).

## Properties
ΔE_f in meV per atom: 258.8
Total energy in eV per cell: -19.2
Crystal system: trigonal
DOS(E_F) in states/eV/f.u.: 6.07

Unit cell a=12.024 b=12.024 c=12.024 alpha=17.03 beta=17.03 gamma=17.03
Atoms (fractional coordinates):
Ac 0.000 0.000 0.000
Th 0.101 0.101 0.101
Th 0.899 0.899 0.899
Zn 0.500 0.500 0.500